No. 1
A plane-wave DFT calculation with GGA-PBE was carried out for Ba2LaCl after structural relaxation.

Summary:
* calculated volume: 42.7 Å³/atom
* magnetization: 0.073 μB/atom
* E: -3.257 eV/atom
* symmetry: Cm

POSCAR file:
```
Ba2LaCl
1.0
-5.096 -3.476 -3.260
-1.858 -5.814 -3.380
-3.391 -4.900 3.959
Ba Cl La
2 1 1
Direct
0.023 0.023 0.003
0.198 0.198 0.360
0.452 0.452 0.395
0.827 0.827 0.741
```

---

No. 2
A plane-wave DFT calculation with GGA-PBE was carried out for Ba2LaCl after structural relaxation.

Summary:
* calculated volume: 42.5 Å³/atom
* magnetization: 0.636 μB/atom
* E: -2.814 eV/atom
* symmetry: I4/mmm

POSCAR file:
```
Ba2LaCl
1.0
7.048 -0.002 0.000
2.992 6.382 0.000
-5.020 -3.190 3.782
Cl La Ba
1 1 2
Direct
0.250 0.750 0.500
0.750 0.250 0.500
0.000 0.000 0.000
0.500 0.500 0.000
```

---

No. 3
A plane-wave DFT calculation with GGA-PBE was carried out for Ba2LaCl after structural relaxation.

Summary:
* calculated volume: 46.7 Å³/atom
* magnetization: 0.002 μB/atom
* E: -3.173 eV/atom
* symmetry: Amm2

POSCAR file:
```
Ba2LaCl
1.0
-2.022 -5.081 1.501
4.227 -1.543 0.471
2.089 1.302 7.222
La Ba Cl
1 2 1
Direct
0.500 0.580 0.716
0.000 0.980 0.915
0.500 0.301 0.272
0.000 0.639 0.597
```

---

No. 4
A plane-wave DFT calculation with GGA-PBE was carried out for BaLa2Cl8 after structural relaxation.

Summary:
* calculated volume: 31.5 Å³/atom
* magnetization: 0.000 μB/atom
* E: -4.786 eV/atom
* symmetry: I-4

POSCAR file:
```
BaLa2Cl8
1.0
10.072 0.144 0.000
-6.848 7.386 0.000
-1.612 -3.765 9.202
Cl La Ba
16 4 2
Direct
0.140 0.072 0.412
0.254 0.167 0.818
0.578 0.298 0.219
0.136 0.436 0.460
0.660 0.728 0.588
0.702 0.922 0.281
0.564 0.024 0.700
0.272 0.860 0.932
0.833 0.651 0.086
0.078 0.359 0.781
0.349 0.436 0.182
0.324 0.864 0.300
0.928 0.340 0.068
0.976 0.676 0.540
0.641 0.422 0.719
0.564 0.746 0.914
0.309 0.661 0.078
0.339 0.417 0.648
0.769 0.691 0.352
0.583 0.231 0.922
0.750 0.250 0.500
0.000 0.000 0.000
```

---

No. 5
A plane-wave DFT calculation with GGA-PBE was carried out for Ba2LaCl7 after structural relaxation.

Summary:
* calculated volume: 33.2 Å³/atom
* magnetization: 0.000 μB/atom
* E: -4.599 eV/atom
* symmetry: C2/c

POSCAR file:
```
Ba2LaCl7
1.0
-10.285 -0.173 6.388
-8.331 -7.377 -4.775
-1.528 -9.439 5.825
Ba Cl La
8 28 4
Direct
0.572 0.660 0.023
0.745 0.126 0.592
0.428 0.340 0.977
0.255 0.874 0.408
0.874 0.255 0.908
0.340 0.428 0.477
0.126 0.745 0.092
0.660 0.572 0.523
0.637 0.477 0.840
0.597 0.924 0.827
0.778 0.731 0.605
0.026 0.109 0.336
0.514 0.860 0.449
0.222 0.269 0.395
0.700 0.119 0.901
0.974 0.891 0.664
0.860 0.514 0.949
0.523 0.363 0.660
0.379 0.766 0.832
0.881 0.300 0.599
0.403 0.076 0.173
0.234 0.621 0.668
0.300 0.881 0.099
0.924 0.597 0.327
0.140 0.486 0.051
0.766 0.379 0.332
0.621 0.234 0.168
0.486 0.140 0.551
0.109 0.026 0.836
0.731 0.778 0.105
0.477 0.637 0.340
0.119 0.700 0.401
0.269 0.222 0.895
0.076 0.403 0.673
0.363 0.523 0.160
0.891 0.974 0.164
0.351 0.015 0.811
0.015 0.351 0.311
0.985 0.649 0.689
0.649 0.985 0.189
```

---

No. 6
A plane-wave DFT calculation with GGA-PBE was carried out for BaLa2Cl8 after structural relaxation.

Summary:
* calculated volume: 27.8 Å³/atom
* magnetization: 0.000 μB/atom
* E: -4.828 eV/atom
* symmetry: C2/m

POSCAR file:
```
BaLa2Cl8
1.0
-6.118 2.314 -4.287
1.319 -7.668 -0.787
-3.946 -1.731 3.450
Cl La Ba
8 2 1
Direct
0.382 0.382 0.799
0.941 0.677 0.577
0.677 0.941 0.577
0.246 0.754 0.000
0.754 0.246 0.000
0.618 0.618 0.201
0.323 0.059 0.423
0.059 0.323 0.423
0.319 0.681 0.500
0.681 0.319 0.500
0.000 0.000 0.000
```

---

No. 7
A plane-wave DFT calculation with GGA-PBE was carried out for Ba2LaCl after structural relaxation.

Summary:
* calculated volume: 43.8 Å³/atom
* magnetization: 0.002 μB/atom
* E: -3.206 eV/atom
* symmetry: I-42d

POSCAR file:
```
Ba2LaCl
1.0
11.041 0.000 0.000
0.000 11.041 0.000
5.521 5.521 2.877
Ba Cl La
4 2 2
Direct
0.375 0.499 0.750
0.501 0.125 0.250
0.249 0.625 0.250
0.875 0.751 0.750
0.250 0.750 0.500
0.500 0.500 0.000
0.750 0.250 0.500
0.000 0.000 0.000
```

---

No. 8
A plane-wave DFT calculation with GGA-PBE was carried out for BaLa2Cl after structural relaxation.

Summary:
* calculated volume: 37.1 Å³/atom
* magnetization: 0.000 μB/atom
* E: -3.890 eV/atom
* symmetry: P2/m

POSCAR file:
```
BaLa2Cl
1.0
-4.185 -0.897 5.458
-2.115 -2.567 -2.044
3.109 -4.175 1.698
Cl La Ba
1 2 1
Direct
0.500 0.750 0.750
0.000 0.571 0.492
0.000 0.929 0.008
0.500 0.250 0.250
```

---

No. 9
A plane-wave DFT calculation with GGA-PBE was carried out for Ba2LaCl after structural relaxation.

Summary:
* calculated volume: 43.3 Å³/atom
* magnetization: 0.001 μB/atom
* E: -3.287 eV/atom
* symmetry: Cmm2

POSCAR file:
```
Ba2LaCl
1.0
-0.337 3.235 2.466
-2.719 -0.317 -3.027
-7.093 -6.085 7.011
Cl Ba La
1 2 1
Direct
0.000 0.000 0.516
0.500 0.500 0.301
0.000 0.000 0.979
0.500 0.500 0.705
```

---

No. 10
A plane-wave DFT calculation with GGA-PBE was carried out for BaLa2Cl after structural relaxation.

Summary:
* calculated volume: 36.4 Å³/atom
* magnetization: 0.066 μB/atom
* E: -4.007 eV/atom
* symmetry: R-3m

POSCAR file:
```
BaLa2Cl
1.0
-5.250 6.866 7.011
-3.635 4.362 9.572
-1.537 7.380 8.186
La Cl Ba
2 1 1
Direct
0.481 0.481 0.481
0.019 0.019 0.019
0.750 0.750 0.750
0.250 0.250 0.250
```

---

No. 11
A plane-wave DFT calculation with GGA-PBE was carried out for BaLa2Cl after structural relaxation.

Summary:
* calculated volume: 35.8 Å³/atom
* magnetization: 0.000 μB/atom
* E: -3.373 eV/atom
* symmetry: Fm-3m

POSCAR file:
```
BaLa2Cl
1.0
0.000 4.153 4.153
4.153 0.000 4.153
4.153 4.153 0.000
Cl La Ba
1 2 1
Direct
0.000 0.000 0.000
0.750 0.750 0.750
0.250 0.250 0.250
0.500 0.500 0.500
```

---

No. 12
A plane-wave DFT calculation with GGA-PBE was carried out for BaLa2Cl after structural relaxation.

Summary:
* calculated volume: 35.7 Å³/atom
* magnetization: 0.000 μB/atom
* E: -3.848 eV/atom
* symmetry: P4/mmm

POSCAR file:
```
BaLa2Cl
1.0
-2.973 1.707 -1.275
-1.530 -3.233 -0.762
-4.330 -0.251 9.759
La Ba Cl
2 1 1
Direct
0.000 0.000 0.568
0.000 0.000 0.932
0.500 0.500 0.250
0.500 0.500 0.750
```